Below is Hf31SO64 after structural relaxation, with properties calculated at the GGA-PBE level.

POSCAR file:
```
Hf31SO64
1.0
10.104 0.000 0.000
0.108 10.138 0.000
0.234 0.221 10.357
Hf O S
31 64 1
direct
0.031 0.398 0.887
0.246 0.884 0.135
0.520 0.378 0.887
0.248 0.649 0.859
0.255 0.142 0.860
0.497 0.113 0.633
0.747 0.105 0.362
0.245 0.132 0.375
0.759 0.879 0.110
0.509 0.878 0.879
0.240 0.375 0.616
0.507 0.868 0.354
0.495 0.374 0.369
0.020 0.897 0.886
0.990 0.374 0.396
0.507 0.627 0.113
0.747 0.367 0.139
0.250 0.644 0.390
0.740 0.611 0.378
0.502 0.608 0.643
0.244 0.884 0.620
0.247 0.397 0.139
0.004 0.872 0.383
0.730 0.859 0.608
0.992 0.623 0.630
0.495 0.125 0.119
0.732 0.351 0.617
0.980 0.115 0.624
0.019 0.145 0.117
0.772 0.141 0.883
0.758 0.643 0.871
0.623 0.997 0.216
0.108 0.765 0.762
0.643 0.747 0.261
0.610 0.736 0.510
0.340 0.285 0.457
0.861 0.211 0.221
0.877 0.775 0.964
0.364 0.749 0.711
0.854 0.745 0.710
0.111 0.005 0.480
0.386 0.750 0.219
0.366 0.248 0.215
0.129 0.018 0.730
0.119 0.015 0.234
0.641 0.242 0.026
0.891 0.017 0.029
0.830 0.446 0.306
0.415 0.461 0.046
0.869 0.486 0.546
0.607 0.496 0.232
0.599 0.243 0.516
0.870 0.253 0.726
0.406 0.715 0.958
0.624 0.234 0.771
0.660 0.494 0.983
0.393 0.503 0.789
0.638 0.747 0.017
0.905 0.504 0.063
0.349 0.037 0.532
0.162 0.782 0.996
0.611 0.990 0.470
0.406 0.220 0.957
0.613 0.737 0.767
0.147 0.267 0.022
0.893 0.271 0.978
0.357 0.791 0.464
0.619 0.979 0.720
0.116 0.269 0.273
0.375 0.996 0.780
0.359 0.529 0.534
0.871 0.734 0.463
0.104 0.254 0.530
0.863 0.989 0.522
0.617 0.244 0.272
0.642 0.488 0.735
0.140 0.517 0.727
0.117 0.754 0.524
0.650 0.992 0.967
0.165 0.509 0.981
0.882 0.007 0.778
0.611 0.489 0.486
0.073 0.514 0.228
0.857 0.233 0.477
0.369 0.250 0.710
0.372 0.005 0.278
0.140 0.025 0.985
0.342 0.500 0.283
0.128 0.271 0.773
0.114 0.506 0.476
0.904 0.523 0.803
0.884 0.683 0.216
0.137 0.767 0.274
0.401 0.969 0.034
0.855 0.949 0.276
0.990 0.610 0.133
```

Values from the calculation:
E_tot: -9.9715 eV/atom